{"formula": "Np2AgO7", "functional": "PBE-GGA", "state": "relaxed", "e_form_raw_ev_per_fu": -20.5, "space_group": "P2/m", "e_tot_ev_per_cell": -84.0, "n_ef_per_ev_fu": 5.1, "lattice_angstrom": [[4.127, 0.000, 0.000], [0.000, 5.596, -1.871], [0.000, -0.529, 6.562]], "species": ["Np", "Np", "Ag", "O", "O", "O", "O", "O", "O", "O"], "frac_coords": [[0.500, 0.685, 0.287], [0.500, 0.315, 0.713], [0.000, 0.000, 0.000], [0.000, 0.683, 0.285], [0.000, 0.317, 0.715], [0.500, 0.031, 0.328], [0.500, 0.969, 0.672], [0.500, 0.325, 0.064], [0.500, 0.675, 0.936], [0.500, 0.500, 0.500]]}

***

{"formula": "Ac2InRhS6", "functional": "PBE-GGA", "state": "relaxed", "e_form_raw_ev_per_fu": -11.1, "space_group": "Pmmn", "e_tot_ev_per_cell": -108.4, "n_ef_per_ev_fu": 0.8, "lattice_angstrom": [[7.205, 0.000, 0.000], [0.000, 7.489, 0.000], [0.000, 0.000, 9.033]], "species": ["Ac", "Ac", "Ac", "Ac", "In", "In", "Rh", "Rh", "S", "S", "S", "S", "S", "S", "S", "S", "S", "S", "S", "S"], "frac_coords": [[0.500, 0.823, 0.231], [0.000, 0.177, 0.731], [0.500, 0.823, 0.769], [0.000, 0.177, 0.269], [0.500, 0.371, 0.500], [0.000, 0.629, 0.000], [0.000, 0.738, 0.500], [0.500, 0.262, 0.000], [0.500, 0.208, 0.260], [0.500, 0.208, 0.740], [0.000, 0.792, 0.240], [0.000, 0.792, 0.760], [0.237, 0.960, 0.500], [0.763, 0.960, 0.500], [0.186, 0.471, 0.500], [0.814, 0.471, 0.500], [0.686, 0.529, 0.000], [0.314, 0.529, 0.000], [0.263, 0.040, 0.000], [0.737, 0.040, 0.000]]}